Computed, not measured: a relaxed structure of Pr4Pb2Au at the PBE level of DFT.

Values from the calculation:
**Energy relative to the elements**: -0.434 eV/atom

POSCAR file:
```
Pr4Pb2Au
1.0
7.320 0.000 0.000
0.000 6.735 0.000
-3.307 0.000 9.367
Pr Pb Au
8 4 2
direct
0.016 0.005 0.243
0.016 0.495 0.243
0.429 0.250 0.570
0.456 0.250 0.145
0.544 0.750 0.855
0.571 0.750 0.430
0.984 0.505 0.757
0.984 0.995 0.757
0.201 0.750 0.550
0.242 0.750 0.058
0.758 0.250 0.942
0.799 0.250 0.450
0.335 0.250 0.832
0.665 0.750 0.168
```

---

Computed, not measured: a relaxed structure of MgTc2Ir at the PBE level of DFT.

Values from the calculation:
**Energy relative to the elements**: 0.018 eV/atom

POSCAR file:
```
MgTc2Ir
1.0
-1.573 2.110 4.458
1.573 -2.110 4.458
1.573 2.110 -4.458
Mg Tc Ir
1 2 1
direct
0.000 0.000 0.000
0.249 0.749 0.500
0.751 0.251 0.500
0.500 0.500 0.000
```